# 1
CeZrAs2Rh5, relaxed, DFT GGA-PBE; M_tot = 0.92 μB/cell; electronic total energy = -7.296 eV/atom; space group = P4/mmm (123); energy relative to the elements = -570 meV/atom
1.0
4.0555 0.0000 0.0000
0.0000 4.0555 0.0000
0.0000 0.0000 10.9885
Ce Zr As Rh
1 1 2 5
direct
0.0000 0.0000 0.0000 Ce
0.0000 0.0000 0.5000 Zr
0.5000 0.5000 0.2180 As
0.5000 0.5000 0.7820 As
0.0000 0.5000 0.3330 Rh
0.0000 0.5000 0.6670 Rh
0.5000 0.0000 0.3330 Rh
0.5000 0.0000 0.6670 Rh
0.5000 0.5000 0.0000 Rh

# 2
CeAs2Ru, relaxed, DFT GGA-PBE; M_tot = 0.17 μB/cell; electronic total energy = -6.983 eV/atom; space group = R-3m (166); distance to the lowest polymorph of the same formula = 0.08 eV/f.u.; energy relative to the elements = -856 meV/atom
1.0
2.0331 1.1738 5.4528
-2.0331 1.1738 5.4528
0.0000 -2.3476 5.4528
Ce As Ru
1 2 1
direct
0.0000 0.0000 0.0000 Ce
0.2296 0.2296 0.2296 As
0.7704 0.7704 0.7704 As
0.5000 0.5000 0.5000 Ru